VASP calculation (PBEsol) on CrPb2Br after structural relaxation.

* energy relative to the lowest polymorph listed for this composition: 0.1567 eV/atom

Unit cell a=4.611 b=4.611 c=9.435 alpha=90.00 beta=90.00 gamma=90.00
Space group I4/mmm (No. 139)
Inequivalent atoms, fractional coordinates:
Cr (0.000, 0.000, 0.000)
Pb (0.000, 0.500, 0.250)
Br (0.000, 0.000, 0.500)


VASP calculation (PBEsol) on CrPb2Br after structural relaxation.

* energy relative to the lowest polymorph listed for this composition: 0.0000 eV/atom

Unit cell a=3.492 b=3.492 c=8.019 alpha=90.00 beta=90.00 gamma=90.00
Space group P4/mmm (No. 123)
Inequivalent atoms, fractional coordinates:
Cr (0.000, 0.000, 0.000)
Pb (0.500, 0.500, 0.220)
Br (0.000, 0.000, 0.500)


VASP calculation (PBEsol) on CrPbBr after structural relaxation.

Unit cell a=6.687 b=6.687 c=6.687 alpha=90.00 beta=90.00 gamma=90.00
Space group F-43m (No. 216)
Inequivalent atoms, fractional coordinates:
Cr (0.000, 0.000, 0.000)
Pb (0.250, 0.250, 0.250)
Br (0.250, 0.250, 0.750)


VASP calculation (PBEsol) on RbCr2PdBr after structural relaxation.

Unit cell a=5.729 b=5.729 c=5.003 alpha=90.00 beta=90.00 gamma=90.00
Space group P4/mmm (No. 123)
Inequivalent atoms, fractional coordinates:
Rb (0.000, 0.000, 0.000)
Cr (0.000, 0.500, 0.000)
Pd (0.000, 0.000, 0.500)
Br (0.500, 0.500, 0.500)


VASP calculation (PBEsol) on CrPtBr2 after structural relaxation.

* energy relative to the lowest polymorph listed for this composition: 0.0000 eV/atom

Unit cell a=3.676 b=3.631 c=6.712 alpha=90.00 beta=91.79 gamma=90.00
Space group Pm (No. 6)
Inequivalent atoms, fractional coordinates:
Cr (0.000, 0.000, 0.000)
Pt (0.495, 0.500, 0.907)
Br (0.220, 0.000, 0.651)
Br (0.766, 0.500, 0.247)


VASP calculation (PBEsol) on CrPt2Br after structural relaxation.

Unit cell a=2.743 b=2.743 c=8.746 alpha=90.00 beta=90.00 gamma=90.00
Space group P4/mmm (No. 123)
Inequivalent atoms, fractional coordinates:
Cr (0.000, 0.000, 0.000)
Pt (0.500, 0.500, 0.194)
Br (0.000, 0.000, 0.500)


What are the uncorrected formation energy values for these records? In order: 0.407; 0.251; 0.531; 1.955; 0.040; 0.242 eV/atom.